# LuGaHg2

A relaxed LuGaHg2 crystal (PBE-GGA, the Open Quantum Materials Database).

Lattice parameters (Å, degrees): 7.085 7.085 7.085 90.00 90.00 90.00
Space group F-43m (No. 216)
One atom of each set of equivalent atoms:
Lu 0.000 0.000 0.000 (multiplicity 4)
Ga 0.250 0.250 0.750 (multiplicity 4)
Hg 0.000 0.000 0.500 (multiplicity 4)
Hg 0.250 0.250 0.250 (multiplicity 4)

Values from the calculation:
energy: -2.253 eV per atom



# MgGa2Hg

A relaxed MgGa2Hg crystal (PBE-GGA, the Open Quantum Materials Database).

Lattice parameters (Å, degrees): 6.896 6.896 6.896 90.00 90.00 90.00
Space group F-43m (No. 216)
One atom of each set of equivalent atoms:
Mg 0.000 0.000 0.000 (multiplicity 4)
Ga 0.000 0.000 0.500 (multiplicity 4)
Ga 0.250 0.250 0.750 (multiplicity 4)
Hg 0.250 0.250 0.250 (multiplicity 4)

Values from the calculation:
energy: -1.993 eV per atom



# Mg2GaHg

A relaxed Mg2GaHg crystal (PBE-GGA, the Open Quantum Materials Database).

Lattice parameters (Å, degrees): 6.976 6.976 6.976 90.00 90.00 90.00
Space group F-43m (No. 216)
One atom of each set of equivalent atoms:
Mg 0.000 0.000 0.000 (multiplicity 4)
Mg 0.250 0.250 0.250 (multiplicity 4)
Ga 0.000 0.000 0.500 (multiplicity 4)
Hg 0.250 0.250 0.750 (multiplicity 4)

Values from the calculation:
energy: -1.616 eV per atom



# Mg2GaHg

A relaxed Mg2GaHg crystal (PBE-GGA, the Open Quantum Materials Database).

Lattice parameters (Å, degrees): 3.402 3.402 7.027 90.00 90.00 90.00
Space group P4/mmm (No. 123)
One atom of each set of equivalent atoms:
Mg 0.000 0.000 0.241 (multiplicity 2)
Ga 0.500 0.500 0.000 (multiplicity 1)
Hg 0.500 0.500 0.500 (multiplicity 1)

Values from the calculation:
energy: -1.775 eV per atom